# Sr5Tc2O12

A relaxed structure of Sr5Tc2O12 (PBE-GGA, Alexandria).

Unit cell a=6.2980 b=6.5860 c=8.5893 alpha=78.04 beta=82.80 gamma=66.34
Closest atoms and distances in Å follow each position.
Fractional positions:
Sr1 0.0000 0.0000 0.0000  6 O 2.46-2.58
Sr2 0.1554 0.2133 0.4945  4 O 2.37-2.64
Sr3 0.4997 0.4313 0.7195  3 O 2.39-2.64
Sr4 0.5003 0.5687 0.2805  3 O 2.39-2.64
Sr5 0.8446 0.7867 0.5055  4 O 2.37-2.64
Tc1 0.3814 0.1868 0.1346  5 O 1.76-1.92
Tc2 0.6186 0.8132 0.8654  5 O 1.76-1.92
O1 0.1692 0.4418 0.1803  1 Tc 1.76
O2 0.2188 0.9967 0.2297  1 Tc 1.92
O3 0.2398 0.5276 0.5110  4 Sr 2.37-2.45
O4 0.3149 0.1673 0.9336  1 Tc 1.87
O5 0.3898 0.7153 0.9572  1 Tc 1.83
O6 0.4537 0.9145 0.6796  1 Tc 1.87
O7 0.5463 0.0855 0.3204  1 Tc 1.87
O8 0.6102 0.2847 0.0428  1 Tc 1.83
O9 0.6851 0.8327 0.0664  1 Tc 1.87
O10 0.7602 0.4724 0.4890  4 Sr 2.37-2.45
O11 0.7812 0.0033 0.7703  1 Tc 1.92
O12 0.8308 0.5582 0.8197  1 Tc 1.76

Computed properties:
Mass density: 4.30 Mg/m³
E_form (uncorrected): -40.9 eV/f.u.


# Sr3Tc2O9

A relaxed structure of Sr3Tc2O9 (PBE-GGA, Alexandria).

Unit cell a=5.6073 b=5.6073 c=6.9794 alpha=90.00 beta=90.00 gamma=120.00
Closest atoms and distances in Å follow each position.
Fractional positions:
Sr1 0.0000 0.0000 0.0000  12 O 2.78-2.80
Sr2 0.3333 0.6667 0.3426  12 O 2.81-2.89
Sr3 0.6667 0.3333 0.6574  12 O 2.81-2.89
Tc1 0.3333 0.6667 0.8225  6 O 1.84-2.04
Tc2 0.6667 0.3333 0.1775  6 O 1.84-2.04
O1 0.0000 0.5000 0.0000  2 Tc 2.04
O2 0.1730 0.3459 0.6832  1 Tc 1.84
O3 0.1730 0.8270 0.6832  1 Tc 1.84
O4 0.3459 0.1730 0.3168  1 Tc 1.84
O5 0.5000 0.0000 0.0000  2 Tc 2.04
O6 0.5000 0.5000 0.0000  2 Tc 2.04
O7 0.6541 0.8270 0.6832  1 Tc 1.84
O8 0.8270 0.1730 0.3168  1 Tc 1.84
O9 0.8270 0.6541 0.3168  1 Tc 1.84

Computed properties:
Mass density: 5.27 Mg/m³
E_form (uncorrected): -28.8 eV/f.u.


# Sr3TcO8

A relaxed structure of Sr3TcO8 (PBE-GGA, Alexandria).

Unit cell a=6.8594 b=6.8594 c=6.8594 alpha=131.72 beta=131.72 gamma=70.67
Closest atoms and distances in Å follow each position.
Fractional positions:
Sr1 0.0000 0.0000 0.0000  8 O 2.60
Sr2 0.2500 0.7500 0.5000  8 O 2.57
Sr3 0.7500 0.2500 0.5000  8 O 2.57
Tc1 0.5000 0.5000 0.0000  8 O 2.05
O1 0.1835 0.1835 0.5808  1 Tc 2.05
O2 0.1835 0.6027 0.0000  1 Tc 2.05
O3 0.3973 0.3973 0.5808  1 Tc 2.05
O4 0.3973 0.8165 0.0000  1 Tc 2.05
O5 0.6027 0.1835 0.0000  1 Tc 2.05
O6 0.6027 0.6027 0.4192  1 Tc 2.05
O7 0.8165 0.3973 0.0000  1 Tc 2.05
O8 0.8165 0.8165 0.4192  1 Tc 2.05

Computed properties:
Mass density: 4.61 Mg/m³
E_form (uncorrected): -18.0 eV/f.u.


# Sr2TcO6

A relaxed structure of Sr2TcO6 (PBE-GGA, Alexandria).

Unit cell a=6.4641 b=6.4641 c=6.4641 alpha=143.50 beta=128.20 gamma=65.02
Closest atoms and distances in Å follow each position.
Fractional positions:
Sr1 0.1690 0.1690 0.0000  8 O 2.53-2.60
Sr2 0.8310 0.8310 0.0000  8 O 2.53-2.60
Tc1 0.5000 0.5000 0.0000  4 O 1.91
O1 0.1428 0.3692 0.7736  1 Tc 1.91
O2 0.3244 0.0000 0.3244  1 O 1.98
O3 0.4043 0.6308 0.7736  1 Tc 1.91
O4 0.5957 0.3692 0.2264  1 Tc 1.91
O5 0.6756 0.0000 0.6756  1 O 1.98
O6 0.8572 0.6308 0.2264  1 Tc 1.91

Computed properties:
Mass density: 4.92 Mg/m³
ΔE to the lowest computed polymorph: 0.273 eV/atom
E_form (uncorrected): -14.6 eV/f.u.


# Sr2TcO

A relaxed structure of Sr2TcO (PBE-GGA, Alexandria).

Unit cell a=6.6418 b=6.6418 c=6.6418 alpha=113.71 beta=113.71 gamma=101.29
Closest atoms and distances in Å follow each position.
Fractional positions:
Sr1 0.0289 0.6250 0.9039  2 O 2.38
Sr2 0.3750 0.2789 0.4039  2 O 2.38
Sr3 0.7211 0.1250 0.0961  2 O 2.38
Sr4 0.8750 0.9711 0.5961  2 O 2.38
Tc1 0.2500 0.7500 0.5000  4 Sr 3.27
Tc2 0.5000 0.5000 0.0000  4 Sr 3.27
O1 0.0000 0.0000 0.0000  4 Sr 2.38
O2 0.7500 0.2500 0.5000  4 Sr 2.38

Computed properties:
Mass density: 4.32 Mg/m³
E_form (uncorrected): -1.4 eV/f.u.


# Sr2TcO4

A relaxed structure of Sr2TcO4 (PBE-GGA, Alexandria).

Unit cell a=6.9266 b=6.9266 c=6.9266 alpha=146.43 beta=146.43 gamma=48.21
Closest atoms and distances in Å follow each position.
Fractional positions:
Sr1 0.1444 0.1444 0.0000  5 O 2.45-2.71
Sr2 0.8556 0.8556 0.0000  5 O 2.45-2.71
Tc1 0.5000 0.5000 0.0000  6 O 2.00-2.05
O1 0.0000 0.5000 0.5000  2 Tc 2.00
O2 0.3381 0.3381 0.0000  1 Tc 2.05
O3 0.5000 0.0000 0.5000  2 Tc 2.00
O4 0.6619 0.6619 0.0000  1 Tc 2.05

Computed properties:
Mass density: 5.53 Mg/m³
ΔE to the lowest computed polymorph: 0.000 eV/atom
E_form (uncorrected): -15.8 eV/f.u.


# SrTc2O5

A relaxed structure of SrTc2O5 (PBE-GGA, Alexandria).

Unit cell a=6.8675 b=6.8675 c=6.8675 alpha=129.10 beta=129.10 gamma=74.84
Closest atoms and distances in Å follow each position.
Fractional positions:
Sr1 0.2500 0.2500 0.0000  10 O 2.69-2.73
Sr2 0.7500 0.7500 0.0000  10 O 2.69-2.73
Tc1 0.1619 0.6619 0.8239  4 O 1.98-2.21
Tc2 0.3381 0.1619 0.5000  4 O 1.98-2.21
Tc3 0.6619 0.8381 0.5000  4 O 1.98-2.21
Tc4 0.8381 0.3381 0.1761  4 O 1.98-2.21
O1 0.0000 0.0000 0.0000  4 Tc 2.21
O2 0.0389 0.2340 0.5000  1 Tc 1.98
O3 0.2340 0.7340 0.1951  1 Tc 1.98
O4 0.2660 0.4611 0.5000  1 Tc 1.98
O5 0.4611 0.9611 0.1951  1 Tc 1.98
O6 0.5000 0.5000 0.0000  4 Tc 2.21
O7 0.5389 0.0389 0.8049  1 Tc 1.98
O8 0.7340 0.5389 0.5000  1 Tc 1.98
O9 0.7660 0.2660 0.8049  1 Tc 1.98
O10 0.9611 0.7660 0.5000  1 Tc 1.98

Computed properties:
Mass density: 6.36 Mg/m³
E_form (uncorrected): -11.8 eV/f.u.


# Sr2TcO6

A relaxed structure of Sr2TcO6 (PBE-GGA, Alexandria).

Unit cell a=5.7867 b=6.4738 c=9.1467 alpha=90.00 beta=121.36 gamma=90.00
Closest atoms and distances in Å follow each position.
Fractional positions:
Sr1 0.1996 0.0913 0.2445  7 O 2.51-2.66
Sr2 0.1996 0.4087 0.7445  7 O 2.51-2.66
Sr3 0.8004 0.5913 0.2555  7 O 2.51-2.66
Sr4 0.8004 0.9087 0.7555  7 O 2.51-2.66
Tc1 0.5000 0.0000 0.0000  6 O 1.88-1.91
Tc2 0.5000 0.5000 0.5000  6 O 1.88-1.91
O1 0.1835 0.1434 0.9539  1 Tc 1.89
O2 0.1835 0.3566 0.4539  1 Tc 1.89
O3 0.2963 0.7494 0.9212  1 Tc 1.91
O4 0.2963 0.7506 0.4212  1 Tc 1.91
O5 0.4203 0.0597 0.7774  1 Tc 1.88
O6 0.4203 0.4403 0.2774  1 Tc 1.88
O7 0.5797 0.5597 0.7226  1 Tc 1.88
O8 0.5797 0.9403 0.2226  1 Tc 1.88
O9 0.7037 0.2494 0.5788  1 Tc 1.91
O10 0.7037 0.2506 0.0788  1 Tc 1.91
O11 0.8165 0.6434 0.5461  1 Tc 1.89
O12 0.8165 0.8566 0.0461  1 Tc 1.89

Computed properties:
Mass density: 4.19 Mg/m³
ΔE to the lowest computed polymorph: 0.000 eV/atom
E_form (uncorrected): -17.1 eV/f.u.


# Sr3Tc2O8

A relaxed structure of Sr3Tc2O8 (PBE-GGA, Alexandria).

Unit cell a=7.5917 b=7.5917 c=7.5917 alpha=45.67 beta=45.67 gamma=45.67
Closest atoms and distances in Å follow each position.
Fractional positions:
Sr1 0.0000 0.0000 0.0000  6 O 2.65
Sr2 0.1980 0.1980 0.1980  4 O 2.39-2.57
Sr3 0.8020 0.8020 0.8020  4 O 2.39-2.57
Tc1 0.4048 0.4048 0.4048  4 O 1.82-1.85
Tc2 0.5952 0.5952 0.5952  4 O 1.82-1.85
O1 0.2222 0.7366 0.7366  1 Tc 1.85
O2 0.2634 0.2634 0.7778  1 Tc 1.85
O3 0.2634 0.7778 0.2634  1 Tc 1.85
O4 0.3153 0.3153 0.3153  1 Tc 1.82
O5 0.6847 0.6847 0.6847  1 Tc 1.82
O6 0.7366 0.2222 0.7366  1 Tc 1.85
O7 0.7366 0.7366 0.2222  1 Tc 1.85
O8 0.7778 0.2634 0.2634  1 Tc 1.85

Computed properties:
Mass density: 4.77 Mg/m³
E_form (uncorrected): -27.1 eV/f.u.